Crystalline Li2ReO4 at its relaxed geometry, computed with GGA-PBE. Values from VASP.

## Properties
E_form (uncorrected)	-1.7071	eV per atom
crystal system	monoclinic
total DFT energy (no corrections)	-96.12	eV for the cell shown

```
&SYSTEM
  ibrav = 0, nat = 14, ntyp = 3
/
ATOMIC_SPECIES
Li 6.94 Li.upf
O 16.00 O.upf
Re 186.21 Re.upf
ATOMIC_POSITIONS crystal
Li 0.5233 0.7500 0.8121
O 0.1208 0.7500 0.7712
Li 0.4767 0.2500 0.1879
O 0.8792 0.2500 0.2288
O 0.9496 0.7500 0.1542
O 0.5070 0.0481 0.7390
Li 0.8289 0.7500 0.4056
O 0.4930 0.9519 0.2610
O 0.5070 0.4519 0.7390
Re 0.2219 0.7500 0.0896
Li 0.1711 0.2500 0.5944
O 0.0504 0.2500 0.8458
Re 0.7781 0.2500 0.9104
O 0.4930 0.5481 0.2610
CELL_PARAMETERS angstrom
5.5508 0.0000 -0.8053
0.0000 6.4386 0.0000
-2.7790 0.0000 5.7683
```

---

Crystalline Li2ReO5 at its relaxed geometry, computed with GGA-PBE. Values from VASP.

## Properties
E_form (uncorrected)	-1.5435	eV per atom
crystal system	orthorhombic
total DFT energy (no corrections)	-106.83	eV for the cell shown

```
&SYSTEM
  ibrav = 0, nat = 16, ntyp = 3
/
ATOMIC_SPECIES
O 16.00 O.upf
Li 6.94 Li.upf
Re 186.21 Re.upf
ATOMIC_POSITIONS crystal
O 0.9801 0.9601 0.1455
Li 0.1946 0.3893 0.9178
Li 0.8054 0.6107 0.4178
O 0.6417 0.2833 0.2500
O 0.2307 0.4615 0.1072
Li 0.8054 0.6107 0.0822
O 0.0199 0.0399 0.8545
O 0.7693 0.5385 0.8928
O 0.9801 0.9601 0.3545
O 0.0199 0.0399 0.6455
O 0.7693 0.5385 0.6072
Re 0.1271 0.2541 0.2500
O 0.2307 0.4615 0.3928
O 0.3583 0.7167 0.7500
Li 0.1946 0.3893 0.5822
Re 0.8729 0.7459 0.7500
CELL_PARAMETERS angstrom
-3.3757 0.8291 1.6359
1.7379 -5.0143 1.6163
4.9853 4.3355 8.0899
```

---

Crystalline LiRe2O2 at its relaxed geometry, computed with GGA-PBE. Values from VASP.

## Properties
E_form (uncorrected)	-0.1186	eV per atom
crystal system	tetragonal
total DFT energy (no corrections)	-37.32	eV for the cell shown

```
&SYSTEM
  ibrav = 0, nat = 5, ntyp = 3
/
ATOMIC_SPECIES
O 16.00 O.upf
Li 6.94 Li.upf
Re 186.21 Re.upf
ATOMIC_POSITIONS crystal
O 0.2500 0.7500 0.5000
Li 0.0000 0.0000 0.0000
O 0.7500 0.2500 0.5000
Re 0.3714 0.3714 0.2572
Re 0.6286 0.6286 0.7428
CELL_PARAMETERS angstrom
-3.4781 -1.0812 1.1873
0.3251 -3.2478 -2.0054
0.2045 -4.1124 3.0344
```